# Pu6Fe

An optimized crystal structure of Pu6Fe (PBE, OQMD via LeMat-Bulk).

Cell lengths 7.713, 7.713, 7.713 Å; angles 97.07, 97.07, 138.93 degrees
Sites, in units of the cell vectors:
Pu1 0.095 0.782 0.877
Pu2 0.098 0.402 0.500
Pu3 0.218 0.095 0.314
Pu4 0.282 0.595 0.877
Pu5 0.402 0.902 0.305
Pu6 0.405 0.282 0.686
Pu7 0.595 0.718 0.314
Pu8 0.598 0.098 0.695
Pu9 0.718 0.405 0.123
Pu10 0.782 0.905 0.686
Pu11 0.902 0.598 0.500
Pu12 0.905 0.218 0.123
Fe1 0.250 0.250 0.000
Fe2 0.750 0.750 0.000

Results
**Energy of formation**: 211 meV/atom
**SG**: No. 140
**Crystal system**: tetragonal